Crystalline ScP2Se at its relaxed geometry. Source: Alexandria via LeMat-Bulk, functional GGA-PBE.

Computed properties:
The calculation puts the raw formation energy at -0.487 eV per atom. Its density of states at the Fermi level is 1.33 states/eV per cell. For the energy, the calculation gives -5.65 eV/atom.

Lattice parameters (Å, degrees): 3.5117 3.8067 5.9520 68.90 90.00 90.00
With the nearest neighbours (Å) after each atom.
Element x y z (fractional)
P  0.0000  0.8821  0.0509  1 P 2.22
P  0.0000  0.6179  0.4491  1 P 2.22
Sc  0.5000  0.2500  0.2500  8 P 2.76-2.87, 2 Se 2.90
Se  0.5000  0.7500  0.7500  4 P 2.68, 2 Sc 2.90

***

Crystalline ScPSe2 at its relaxed geometry. Source: Alexandria via LeMat-Bulk, functional GGA-PBE.

Computed properties:
The calculation puts the raw formation energy at -0.550 eV per atom. Its density of states at the Fermi level is 1.41 states/eV per cell. For the energy, the calculation gives -5.23 eV/atom.

Lattice parameters (Å, degrees): 5.4202 4.7817 4.7710 69.14 55.52 55.34
With the nearest neighbours (Å) after each atom.
Element x y z (fractional)
Se  0.0000  0.5000  0.5000  2 Sc 2.71, 2 P 2.71, 2 Se 2.85
Se  0.5000  0.0000  0.0000  2 Sc 2.71, 2 P 2.71, 2 Se 2.85
P  0.5000  0.5000  0.5000  4 Se 2.71, 2 Sc 2.85
Sc  0.0000  0.0000  0.0000  4 Se 2.71, 2 P 2.85

***

Crystalline ScPSe2 at its relaxed geometry. Source: Alexandria via LeMat-Bulk, functional GGA-PBE.

Computed properties:
The calculation puts the raw formation energy at -0.502 eV per atom. Its density of states at the Fermi level is 1.66 states/eV per cell. For the energy, the calculation gives -5.18 eV/atom.

Lattice parameters (Å, degrees): 3.7332 3.7181 5.9065 90.00 90.00 90.00
With the nearest neighbours (Å) after each atom.
Element x y z (fractional)
Se  0.5000  0.0000  0.5000  4 Sc 2.63
Se  0.0000  0.0000  0.0000  4 P 2.63
Sc  0.0000  0.5000  0.5000  4 Se 2.63
P  0.5000  0.5000  0.0000  4 Se 2.63

***

Crystalline ScPSe2 at its relaxed geometry. Source: Alexandria via LeMat-Bulk, functional GGA-PBE.

Computed properties:
The calculation puts the raw formation energy at -0.395 eV per atom. Its density of states at the Fermi level is 1.94 states/eV per cell. For the energy, the calculation gives -5.07 eV/atom.

Lattice parameters (Å, degrees): 3.3909 3.3909 6.6205 90.00 90.00 90.00
With the nearest neighbours (Å) after each atom.
Element x y z (fractional)
Se  0.0000  0.0000  0.7245  4 Sc 2.82, 1 Se 2.97, 4 P 3.01
Se  0.0000  0.0000  0.2755  4 Sc 2.82, 1 Se 2.97, 4 P 3.01
Sc  0.5000  0.5000  0.5000  8 Se 2.82
P  0.5000  0.5000  0.0000  8 Se 3.01, 2 Sc 3.31

***

Crystalline ScP2Se at its relaxed geometry. Source: Alexandria via LeMat-Bulk, functional GGA-PBE.

Computed properties:
The calculation puts the raw formation energy at -0.241 eV per atom. Its density of states at the Fermi level is 1.65 states/eV per cell. For the energy, the calculation gives -5.40 eV/atom.

Lattice parameters (Å, degrees): 4.5245 4.5245 3.5078 90.00 90.00 103.26
With the nearest neighbours (Å) after each atom.
Element x y z (fractional)
Se  0.0000  0.5000  0.5000  2 Sc 2.81, 8 P 2.86
P  0.5000  0.5000  0.0000  2 P 2.81, 4 Se 2.86, 4 Sc 2.86
P  0.0000  0.0000  0.0000  2 P 2.81, 4 Sc 2.86, 4 Se 2.86
Sc  0.5000  0.0000  0.5000  2 Se 2.81, 8 P 2.86

***

Crystalline Sc5PSe5 at its relaxed geometry. Source: Alexandria via LeMat-Bulk, functional GGA-PBE.

Computed properties:
The calculation puts the raw formation energy at -1.688 eV per atom. Its density of states at the Fermi level is 4.22 states/eV per cell. For the energy, the calculation gives -6.64 eV/atom.

Lattice parameters (Å, degrees): 5.4351 6.6391 7.6389 106.85 90.00 114.16
With the nearest neighbours (Å) after each atom.
Element x y z (fractional)
Se  0.0000  0.0000  0.5000  4 Sc 2.66-2.67
Se  0.6692  0.3385  0.3347  5 Sc 2.72-2.78
Se  0.3325  0.6650  0.1682  5 Sc 2.72-2.75
Se  0.3308  0.6615  0.6653  5 Sc 2.72-2.78
Se  0.6675  0.3350  0.8318  5 Sc 2.72-2.75
Sc  0.8411  0.6822  0.6750  1 P 2.61, 5 Se 2.67-2.77
Sc  0.1582  0.3164  0.8339  1 P 2.61, 5 Se 2.66-2.78
Sc  0.8418  0.6836  0.1661  1 P 2.61, 5 Se 2.66-2.78
Sc  0.1589  0.3178  0.3250  1 P 2.61, 5 Se 2.67-2.77
Sc  0.5000  0.0000  0.0000  2 P 2.72, 4 Se 2.72
P  0.0000  0.0000  0.0000  6 Sc 2.61-2.72